# 1
! HoSc2Ir (PBE-GGA, optimized geometry); values from VASP
&SYSTEM
  ibrav = 0, nat = 8, ntyp = 3
/
ATOMIC_SPECIES
Ho 164.93 Ho.upf
Sc 44.96 Sc.upf
Ir 192.22 Ir.upf
CELL_PARAMETERS angstrom
3.779 0.001 0.000
-1.889 5.728 0.000
0.000 0.000 8.499
ATOMIC_POSITIONS angstrom
Ho 1.889 4.985 2.125
Ho 0.000 0.744 6.374
Sc 0.000 4.072 4.792
Sc 1.890 1.656 3.707
Sc 0.000 4.072 7.956
Sc 1.890 1.656 0.542
Ir 1.890 2.910 6.374
Ir 0.000 2.819 2.125
! - formation energy (eV/atom) = -0.5759
! - DOS at the Fermi energy (states/eV/f.u.) = 5.71
! - total DFT energy (no corrections) (Ry per atom) = -0.5219
! - crystal system = orthorhombic
! - energy relative to the lowest polymorph listed for this composition (meV/atom) = 23


# 2
! Ac4TlCoI2 (PBE-GGA, optimized geometry); values from VASP
&SYSTEM
  ibrav = 0, nat = 8, ntyp = 4
/
ATOMIC_SPECIES
Ac 227.00 Ac.upf
Tl 204.38 Tl.upf
Co 58.93 Co.upf
I 126.90 I.upf
CELL_PARAMETERS angstrom
-3.559 1.188 -2.246
-1.678 -8.009 -1.578
-4.132 2.116 7.669
ATOMIC_POSITIONS angstrom
Ac -3.059 -1.294 -0.093
Ac -6.310 -3.411 3.938
Ac -3.842 -0.597 5.774
Ac -1.968 -5.296 0.317
Tl 0.000 0.000 0.000
Co -2.619 -3.411 -1.912
I -3.845 1.652 2.712
I -2.905 -2.946 3.045
! - DOS at the Fermi energy (states/eV/f.u.) = 6.19
! - total DFT energy (no corrections) (Ry per atom) = -0.3109
! - uncorrected formation energy (eV per atom) = -0.604
! - crystal system = monoclinic


# 3
! PmSn3S6 (PBE-GGA, optimized geometry); values from VASP
&SYSTEM
  ibrav = 0, nat = 20, ntyp = 3
/
ATOMIC_SPECIES
Pm 145.00 Pm.upf
Sn 118.71 Sn.upf
S 32.06 S.upf
CELL_PARAMETERS angstrom
3.908 0.000 0.000
0.000 12.481 -0.571
0.000 -4.767 10.404
ATOMIC_POSITIONS angstrom
Pm 2.931 -2.587 7.480
Pm 0.977 10.301 2.353
Sn 2.931 2.075 8.667
Sn 0.977 5.638 1.166
Sn 2.931 7.084 4.273
Sn 0.977 0.630 5.560
Sn 2.931 1.324 1.231
Sn 0.977 6.390 8.603
S 2.931 2.284 5.996
S 0.977 5.429 3.837
S 2.931 11.158 0.350
S 0.977 -3.445 9.483
S 2.931 3.936 0.889
S 0.977 3.777 8.945
S 2.931 8.227 2.042
S 0.977 -0.514 7.791
S 2.931 -1.174 4.910
S 0.977 8.887 4.923
S 2.931 6.851 6.892
S 0.977 0.862 2.941
! - DOS at the Fermi energy (states/eV/f.u.) = 3.22
! - total DFT energy (no corrections) (Ry per atom) = -0.3609
! - uncorrected formation energy (eV per atom) = -0.758
! - crystal system = monoclinic


# 4
! Sm3YEr2As6 (PBE-GGA, optimized geometry); values from VASP
&SYSTEM
  ibrav = 0, nat = 12, ntyp = 4
/
ATOMIC_SPECIES
Sm 150.36 Sm.upf
Y 88.91 Y.upf
Er 167.26 Er.upf
As 74.92 As.upf
CELL_PARAMETERS angstrom
-5.956 3.921 -0.999
1.716 -2.322 6.596
4.968 5.144 -0.791
ATOMIC_POSITIONS angstrom
Sm 2.924 1.288 4.938
Sm -2.196 5.454 -0.131
Sm 0.364 3.371 2.403
Y 0.000 0.000 0.000
Er -0.840 -0.242 4.065
Er -3.399 1.841 1.532
As -0.710 6.142 2.336
As -1.957 2.441 3.983
As 1.438 0.601 2.470
As 1.860 4.051 4.880
As 2.685 4.302 0.823
As -1.132 2.692 -0.074
! - formation energy (eV/atom) = -1.5266
! - DOS at the Fermi energy (states/eV/f.u.) = 1.84
! - total DFT energy (no corrections) (Ry per atom) = -0.4653
! - crystal system = monoclinic


# 5
! HoCoSi2Ni (PBE-GGA, optimized geometry); values from VASP
&SYSTEM
  ibrav = 0, nat = 5, ntyp = 4
/
ATOMIC_SPECIES
Ho 164.93 Ho.upf
Co 58.93 Co.upf
Si 28.09 Si.upf
Ni 58.69 Ni.upf
CELL_PARAMETERS angstrom
-0.471 -3.613 1.432
3.309 0.384 2.057
-3.934 3.412 1.964
ATOMIC_POSITIONS angstrom
Ho 0.000 0.000 0.000
Co -1.493 -0.908 2.570
Si 0.784 -1.161 2.681
Si -1.880 1.343 2.772
Ni 0.397 1.091 2.883
! - DOS at the Fermi energy (states/eV/f.u.) = 2.83
! - total DFT energy (no corrections) (Ry per atom) = -0.4768
! - uncorrected formation energy (eV per atom) = -0.825
! - crystal system = tetragonal


# 6
! Pm3PuBi4 (PBE-GGA, optimized geometry); values from VASP
&SYSTEM
  ibrav = 0, nat = 8, ntyp = 3
/
ATOMIC_SPECIES
Pu 244.00 Pu.upf
Bi 208.98 Bi.upf
Pm 145.00 Pm.upf
CELL_PARAMETERS angstrom
6.463 0.000 0.000
0.000 6.463 0.000
0.000 0.000 6.463
ATOMIC_POSITIONS angstrom
Pu 0.000 0.000 0.000
Bi 3.232 0.000 0.000
Bi 0.000 3.232 0.000
Bi 0.000 0.000 3.232
Bi 3.232 3.232 3.232
Pm 0.000 3.232 3.232
Pm 3.232 0.000 3.232
Pm 3.232 3.232 0.000
! - formation energy (eV/atom) = -0.7790
! - DOS at the Fermi energy (states/eV/f.u.) = 20.04
! - total DFT energy (no corrections) (Ry per atom) = -0.4625
! - crystal system = cubic
! - energy relative to the lowest polymorph listed for this composition (meV/atom) = 3


Q: total DFT energy (no corrections) of number 3 (PmSn3S6)?
A: -0.3609 Ry per atom